First-principles (SCAN) data for a crystal of CrTc2Pb relaxed with PBEsol, as listed in Alexandria.

Its magnetization is 1.007 μB/f.u. The calculated formation energy is 0.5291 eV/atom. The value obtained for the density of states at the Fermi level is 2.94 states/eV per cell.

The structure belongs to space group P2/m (No. 10); the cell edges are 2.9049, 3.9219 and 5.6033 Å and the angles 90.00°, 99.62° and 90.00°. The asymmetric unit holds Cr at (0.0000, 0.0000, 0.0000), Tc at (0.3788, 0.5000, 0.2057) and Pb at (0.0000, 0.0000, 0.5000).

***

First-principles (SCAN) data for a crystal of ScTcPt2 relaxed with PBEsol, as listed in Alexandria.

Its magnetization is 0.996 μB/f.u. The calculated formation energy is -0.5753 eV/atom. The value obtained for the density of states at the Fermi level is 2.96 states/eV per cell.

The structure belongs to space group P4/mmm (No. 123); the cell edges are 3.3878, 3.3878 and 5.5244 Å and the angles 90.00°, 90.00° and 90.00°. The asymmetric unit holds Sc at (0.0000, 0.0000, 0.0000), Tc at (0.0000, 0.0000, 0.5000) and Pt at (0.5000, 0.5000, 0.2613).

***

First-principles (SCAN) data for a crystal of AlReNi2 relaxed with PBEsol, as listed in Alexandria.

Its magnetization is 1.395 μB/f.u. The calculated formation energy is -0.0885 eV/atom. The value obtained for the density of states at the Fermi level is 12.33 states/eV per cell.

The structure belongs to space group F-43m (No. 216); the cell edges are 5.8064, 5.8064 and 5.8064 Å and the angles 90.00°, 90.00° and 90.00°. The asymmetric unit holds Al at (0.0000, 0.0000, 0.0000), Re at (0.2500, 0.2500, 0.7500), Ni at (0.0000, 0.0000, 0.5000) and Ni at (0.2500, 0.2500, 0.2500).

***

First-principles (SCAN) data for a crystal of Sc5Tl relaxed with PBEsol, as listed in Alexandria.

Its magnetization is 0.771 μB/f.u. The calculated formation energy is -0.1702 eV/atom. The value obtained for the density of states at the Fermi level is 13.83 states/eV per cell.

The structure belongs to space group Cm (No. 8); the cell edges are 11.6048, 3.2603 and 7.5030 Å and the angles 90.00°, 104.27° and 90.00°. The asymmetric unit holds Sc at (0.0000, 0.0000, 0.0000), Sc at (0.0396, 0.0000, 0.6106), Sc at (0.1485, 0.5000, 0.3379), Sc at (0.3207, 0.0000, 0.6717), Sc at (0.3739, 0.0000, 0.2706) and Tl at (0.2175, 0.5000, 0.9496).

***

First-principles (SCAN) data for a crystal of Ga2FeNi9 relaxed with PBEsol, as listed in Alexandria.

Its magnetization is 7.454 μB/f.u. The calculated formation energy is -0.2448 eV/atom. The value obtained for the density of states at the Fermi level is 4.95 states/eV per cell.

The structure belongs to space group P4/mmm (No. 123); the cell edges are 3.5140, 3.5140 and 10.5130 Å and the angles 90.00°, 90.00° and 90.00°. The asymmetric unit holds Ga at (0.0000, 0.0000, 0.1674), Fe at (0.0000, 0.0000, 0.5000), Ni at (0.0000, 0.5000, 0.0000), Ni at (0.0000, 0.5000, 0.3381), Ni at (0.5000, 0.5000, 0.1681) and Ni at (0.5000, 0.5000, 0.5000).

***

First-principles (SCAN) data for a crystal of Mg2ZnSnCl relaxed with PBEsol, as listed in Alexandria.

Its magnetization is 0.000 μB/f.u. The raw formation energy is 22.1 kJ/mol of atoms. The value obtained for the density of states at the Fermi level is 4.39 states/eV per cell.

The structure belongs to space group P4/mmm (No. 123); the cell edges are 5.0212, 5.0212 and 5.1867 Å and the angles 90.00°, 90.00° and 90.00°. The asymmetric unit holds Mg at (0.0000, 0.5000, 0.0000), Zn at (0.0000, 0.0000, 0.0000), Sn at (0.5000, 0.5000, 0.5000) and Cl at (0.0000, 0.0000, 0.5000).

***

First-principles (SCAN) data for a crystal of TaFeSeN2 relaxed with PBEsol, as listed in Alexandria.

Its magnetization is 2.438 μB/f.u. The raw formation energy is 93.3 kJ/mol of atoms. The value obtained for the density of states at the Fermi level is 3.32 states/eV per cell.

The structure belongs to space group P4/mmm (No. 123); the cell edges are 3.6686, 3.6686 and 4.5784 Å and the angles 90.00°, 90.00° and 90.00°. The asymmetric unit holds Ta at (0.0000, 0.0000, 0.0000), Fe at (0.5000, 0.5000, 0.5000), Se at (0.5000, 0.5000, 0.0000) and N at (0.0000, 0.5000, 0.5000).

***

First-principles (SCAN) data for a crystal of K2Li3GaO4 relaxed with PBEsol, as listed in Alexandria.

Its magnetization is 0.000 μB/f.u. The raw formation energy is -191.0 kJ/mol of atoms. The value obtained for the density of states at the Fermi level is 0.00 states/eV per cell.

The structure belongs to space group P2_1/c (No. 14); the cell edges are 5.5099, 8.7347 and 10.8780 Å and the angles 90.00°, 111.17° and 90.00°. The asymmetric unit holds K at (0.2059, 0.0071, 0.3619), K at (0.2198, 0.2273, 0.6081), Li at (0.1164, 0.7385, 0.7009), Li at (0.1284, 0.0089, 0.9300), Li at (0.4060, 0.5337, 0.2968), Ga at (0.3975, 0.7124, 0.5632), O at (0.2409, 0.5509, 0.6237), O at (0.2477, 0.1781, 0.8567), O at (0.2674, 0.6901, 0.3804) and O at (0.2797, 0.6064, 0.1141).

***

First-principles (SCAN) data for a crystal of VOF relaxed with PBEsol, as listed in Alexandria.

Its magnetization is 2.000 μB/f.u. The raw formation energy is -284.3 kJ/mol of atoms.

The structure belongs to space group P4_12_12 (No. 92); the cell edges are 4.6049, 4.6049 and 6.0640 Å and the angles 90.00°, 90.00° and 90.00°. The asymmetric unit holds V at (0.0325, 0.0325, 0.0000), O at (0.1848, 0.8152, 0.2500) and F at (0.2070, 0.7930, 0.7500).

***

First-principles (SCAN) data for a crystal of TcSeO2 relaxed with PBEsol, as listed in Alexandria.

Its magnetization is 0.000 μB/f.u. The raw formation energy is -11.4 kJ/mol of atoms. The value obtained for the density of states at the Fermi level is 6.34 states/eV per cell.

The structure belongs to space group R-3m (No. 166, hexagonal axes); the cell edges are 2.8229, 2.8229 and 22.1521 Å and the angles 90.00°, 90.00° and 120.00°. The asymmetric unit holds Tc at (0.0000, 0.0000, 0.0000), Se at (0.0000, 0.0000, 0.5000) and O at (0.0000, 0.0000, 0.0800).

***

First-principles (SCAN) data for a crystal of FeCuRuSe2 relaxed with PBEsol, as listed in Alexandria.

Its magnetization is 3.342 μB/f.u. The raw formation energy is 86.1 kJ/mol of atoms. The value obtained for the density of states at the Fermi level is 5.11 states/eV per cell.

The structure belongs to space group P4/mmm (No. 123); the cell edges are 4.6709, 4.6709 and 4.6580 Å and the angles 90.00°, 90.00° and 90.00°. The asymmetric unit holds Fe at (0.0000, 0.0000, 0.0000), Cu at (0.5000, 0.5000, 0.0000), Ru at (0.0000, 0.0000, 0.5000) and Se at (0.0000, 0.5000, 0.5000).

***

First-principles (SCAN) data for a crystal of Mg2TlAg relaxed with PBEsol, as listed in Alexandria.

Its magnetization is 0.000 μB/f.u. The calculated formation energy is -0.1263 eV/atom. The value obtained for the density of states at the Fermi level is 2.23 states/eV per cell.

The structure belongs to space group Cm (No. 8); the cell edges are 10.3564, 3.4289 and 4.9235 Å and the angles 90.00°, 107.63° and 90.00°. The asymmetric unit holds Mg at (0.0000, 0.0000, 0.0000), Mg at (0.2291, 0.0000, 0.6709), Tl at (0.2572, 0.5000, 0.1963) and Ag at (0.4959, 0.0000, 0.5237).